Entry 1:
Y2ErTl3Se6 after structural relaxation, computed with GGA-PBE.

Properties
V = 705 Å³/cell
Formation energy (no corrections) = -1391 meV per atom
E = -124.4 eV/cell

Cell and atoms, written as CIF:
```
data_Y2ErTl3Se6
_symmetry_space_group_name_H-M 'C 1 2/m 1'
_symmetry_Int_Tables_number 12
_symmetry_space_group_name_Hall '-C 2y'
_cell_length_a 7.236
_cell_length_b 12.534
_cell_length_c 8.138
_cell_angle_alpha 90.00
_cell_angle_beta 107.25
_cell_angle_gamma 90.00
loop_
_atom_site_label
_atom_site_type_symbol
_atom_site_fract_x
_atom_site_fract_y
_atom_site_fract_z
Y1 Y 0.000 0.167 0.000
Er1 Er 0.000 0.500 0.000
Tl1 Tl 0.000 0.000 0.500
Tl2 Tl 0.000 0.333 0.500
Se1 Se 0.233 0.335 0.204
Se2 Se 0.237 0.000 0.204
```

***

Entry 2:
Er3ZrTl3Se8 after structural relaxation, computed with GGA-PBE.

Properties
V = 1354 Å³/cell
Formation energy (no corrections) = -1373 meV per atom
E = -233.4 eV/cell

Cell and atoms, written as CIF:
```
data_Er3ZrTl3Se8
_symmetry_space_group_name_H-M 'R -3 m'
_symmetry_Int_Tables_number 166
_symmetry_space_group_name_Hall '-R 3 2"'
_cell_length_a 8.1387
_cell_length_b 8.1387
_cell_length_c 23.6054
_cell_angle_alpha 90.00
_cell_angle_beta 90.00
_cell_angle_gamma 120.00
loop_
_atom_site_label
_atom_site_type_symbol
_atom_site_fract_x
_atom_site_fract_y
_atom_site_fract_z
Er1 Er 0.0000 0.5000 0.0000
Zr1 Zr 0.0000 0.0000 0.0000
Tl1 Tl 0.0000 0.5000 0.5000
Se1 Se 0.0000 0.0000 0.2657
Se2 Se 0.0120 0.5060 0.7327
```

***

Entry 3:
Er3ZrTl4Se8 after structural relaxation, computed with GGA-PBE.

Properties
V = 1359 Å³/cell
Formation energy (no corrections) = -1256 meV per atom
E = -239.0 eV/cell

Cell and atoms, written as CIF:
```
data_Er3ZrTl4Se8
_symmetry_space_group_name_H-M 'R -3 m'
_symmetry_Int_Tables_number 166
_symmetry_space_group_name_Hall '-R 3 2"'
_cell_length_a 8.1726
_cell_length_b 8.1726
_cell_length_c 23.4920
_cell_angle_alpha 90.00
_cell_angle_beta 90.00
_cell_angle_gamma 120.00
loop_
_atom_site_label
_atom_site_type_symbol
_atom_site_fract_x
_atom_site_fract_y
_atom_site_fract_z
Er1 Er 0.0000 0.5000 0.0000
Zr1 Zr 0.0000 0.0000 0.0000
Tl1 Tl 0.0000 0.0000 0.5000
Tl2 Tl 0.0000 0.5000 0.5000
Se1 Se 0.0000 0.0000 0.2653
Se2 Se 0.0089 0.5045 0.7339
```

***

Entry 4:
ErTmSe after structural relaxation, computed with GGA-PBE.

Properties
V = 81 Å³/cell
Relative energy among the computed polymorphs = 0 meV/atom
Formation energy (no corrections) = -1083 meV per atom
E = -15.8 eV/cell

Cell and atoms, written as CIF:
```
data_ErTmSe
_symmetry_space_group_name_H-M 'P 3 m 1'
_symmetry_Int_Tables_number 156
_symmetry_space_group_name_Hall 'P 3 -2"'
_cell_length_a 3.8015
_cell_length_b 3.8015
_cell_length_c 6.4465
_cell_angle_alpha 90.00
_cell_angle_beta 90.00
_cell_angle_gamma 120.00
loop_
_atom_site_label
_atom_site_type_symbol
_atom_site_fract_x
_atom_site_fract_y
_atom_site_fract_z
Er1 Er 0.0000 0.0000 0.0000
Tm1 Tm 0.6667 0.3333 0.4356
Se1 Se 0.3333 0.6667 0.7166
```

***

Entry 5:
Er2Tm3Se6 after structural relaxation, computed with GGA-PBE.

Properties
V = 546 Å³/cell
Relative energy among the computed polymorphs = 0 meV/atom
Formation energy (no corrections) = -1818 meV per atom
E = -126.9 eV/cell

Cell and atoms, written as CIF:
```
data_Er2Tm3Se6
_symmetry_space_group_name_H-M 'C 1 2/m 1'
_symmetry_Int_Tables_number 12
_symmetry_space_group_name_Hall '-C 2y'
_cell_length_a 6.960
_cell_length_b 11.993
_cell_length_c 6.936
_cell_angle_alpha 90.00
_cell_angle_beta 109.50
_cell_angle_gamma 90.00
loop_
_atom_site_label
_atom_site_type_symbol
_atom_site_fract_x
_atom_site_fract_y
_atom_site_fract_z
Er1 Er 0.000 0.165 0.000
Tm1 Tm 0.000 0.000 0.500
Tm2 Tm 0.000 0.334 0.500
Se1 Se 0.245 0.500 0.754
Se2 Se 0.247 0.336 0.249
```

***

Entry 6:
Er5TmSe6 after structural relaxation, computed with GGA-PBE.

Properties
V = 556 Å³/cell
Formation energy (no corrections) = -1688 meV per atom
E = -136.9 eV/cell

Cell and atoms, written as CIF:
```
data_Er5TmSe6
_symmetry_space_group_name_H-M 'C 1 2/m 1'
_symmetry_Int_Tables_number 12
_symmetry_space_group_name_Hall '-C 2y'
_cell_length_a 6.982
_cell_length_b 12.140
_cell_length_c 6.966
_cell_angle_alpha 90.00
_cell_angle_beta 109.66
_cell_angle_gamma 90.00
loop_
_atom_site_label
_atom_site_type_symbol
_atom_site_fract_x
_atom_site_fract_y
_atom_site_fract_z
Er1 Er 0.000 0.000 0.000
Er2 Er 0.000 0.167 0.500
Er3 Er 0.000 0.332 0.000
Tm1 Tm 0.000 0.500 0.500
Se1 Se 0.249 0.334 0.749
Se2 Se 0.249 0.500 0.250
```

***

Entry 7:
Er2Tm3Se4 after structural relaxation, computed with GGA-PBE.

Properties
V = 440 Å³/cell
Formation energy (no corrections) = -1485 meV per atom
E = -99.7 eV/cell

Cell and atoms, written as CIF:
```
data_Er2Tm3Se4
_symmetry_space_group_name_H-M 'C 1 2/m 1'
_symmetry_Int_Tables_number 12
_symmetry_space_group_name_Hall '-C 2y'
_cell_length_a 6.783
_cell_length_b 3.917
_cell_length_c 16.580
_cell_angle_alpha 90.00
_cell_angle_beta 90.02
_cell_angle_gamma 90.00
loop_
_atom_site_label
_atom_site_type_symbol
_atom_site_fract_x
_atom_site_fract_y
_atom_site_fract_z
Er1 Er 0.167 0.000 0.208
Tm1 Tm 0.000 0.500 0.000
Tm2 Tm 0.166 0.000 0.581
Se1 Se 0.001 0.500 0.311
Se2 Se 0.166 0.000 0.897
```

***

Entry 8:
Er3TmSe6 after structural relaxation, computed with GGA-PBE.

Properties
V = 849 Å³/cell
Relative energy among the computed polymorphs = 0 meV/atom
Formation energy (no corrections) = -1843 meV per atom
E = -172.5 eV/cell

Cell and atoms, written as CIF:
```
data_Er3TmSe6
_symmetry_space_group_name_H-M 'R 3'
_symmetry_Int_Tables_number 146
_symmetry_space_group_name_Hall 'R 3'
_cell_length_a 7.1253
_cell_length_b 7.1253
_cell_length_c 19.3191
_cell_angle_alpha 90.00
_cell_angle_beta 90.00
_cell_angle_gamma 120.00
loop_
_atom_site_label
_atom_site_type_symbol
_atom_site_fract_x
_atom_site_fract_y
_atom_site_fract_z
Er1 Er 0.0000 0.0000 0.0000
Er2 Er 0.0000 0.0000 0.1945
Er3 Er 0.0000 0.0000 0.4996
Tm1 Tm 0.0000 0.0000 0.6940
Se1 Se 0.9997 0.6942 0.5974
Se2 Se 0.0276 0.3587 0.7639
```